Computed, not measured: a relaxed structure of CuAg2HPd at the PBE level of DFT.

## Properties
- Magnetization: 0.00 μB per atom
- Density: 9.7 Mg/m³
- Excess energy over the best structure of this formula in the dataset: 98.8 meV per atom
- Fermi-level density of states: 1.2 states/eV/f.u.
- DFT total energy: -3.5081 eV per atom

Cell lengths 4.1731, 4.1731, 3.8119 Å; angles 90.00, 90.00, 90.00 degrees
Fractional coordinates of all 5 atoms:
Cu 0.0000 0.0000 0.0000
Ag 0.0000 0.5000 0.5000
Ag 0.5000 0.0000 0.5000
H 0.0000 0.0000 0.5000
Pd 0.5000 0.5000 0.0000